VASP calculation (PBE) on K2PbS2O8 after structural relaxation.

Summary:
Theoretical density = 2640 kg/m³
M_tot = 0.000 μB per atom
Energy above the lowest structure with this stoichiometry = 2.26 eV/f.u.
ΔE_f (raw) = -1.52 eV per atom
Symmetry = R-3m (166)

Cell lengths 10.765, 10.765, 10.765 Å; angles 31.39, 31.39, 31.39 degrees
Sites, in units of the cell vectors:
O  0.712  0.712  0.296
O  0.288  0.704  0.288
O  0.640  0.640  0.640
O  0.296  0.712  0.712
O  0.712  0.296  0.712
O  0.360  0.360  0.360
O  0.704  0.288  0.288
O  0.288  0.288  0.704
S  0.408  0.408  0.408
S  0.592  0.592  0.592
K  0.275  0.275  0.275
K  0.725  0.725  0.725
Pb  0.500  0.500  0.500